DFT (PBE-GGA) results for a geometry-optimized Be2Ir3W structure.

Cell: 2.825 2.825 9.377 Å, 90.00 90.00 90.00°
Space group P4/mmm (No. 123)
Symmetry-distinct sites (fractional):
Be 0.000 0.000 0.145 (multiplicity 2)
Ir 0.500 0.500 0.000 (multiplicity 1)
Ir 0.500 0.500 0.300 (multiplicity 2)
W 0.000 0.000 0.500 (multiplicity 1)



DFT (PBE-GGA) results for a geometry-optimized PaCdPt structure.

Cell: 4.7955 4.7955 3.1804 Å, 90.00 90.00 120.00°
Space group P-6m2 (No. 187)
Symmetry-distinct sites (fractional):
Pa 0.0000 0.0000 0.0000 (multiplicity 1)
Cd 0.3333 0.6667 0.5000 (multiplicity 1)
Pt 0.6667 0.3333 0.5000 (multiplicity 1)



| no. | DFT total energy (eV for the cell shown) |
| --- | --- |
| 1 | -49.88 |
| 2 | -17.78 |